No. 1
First-principles (SCAN) data for AgBiSe2 at its PBEsol-relaxed geometry, as listed in Alexandria.

## Properties
Its total DFT energy (no corrections) is -602.28 eV for the cell shown. The formation energy without anion corrections is -117 meV/atom. The calculation puts the total magnetization at 0.00 μB/atom.

a = 6.172 Å, b = 6.172 Å, c = 12.945 Å
α = 90.00°, β = 90.00°, γ = 90.00°
Space group I-42d (No. 122)
Unique sites:
Ag  0.000  0.000  0.000 x4
Bi  0.000  0.000  0.500 x4
Se  0.220  0.250  0.125 x8


No. 2
First-principles (SCAN) data for AgBi2Se2 at its PBEsol-relaxed geometry, as listed in Alexandria.

## Properties
Its total DFT energy (no corrections) is -455.57 eV for the cell shown. The density of states at the Fermi level comes out at 0.579 states/eV/atom. The formation energy without anion corrections is 179 meV/atom. The calculation puts the total magnetization at 0.00 μB/atom.

a = 7.509 Å, b = 7.509 Å, c = 4.394 Å
α = 90.00°, β = 90.00°, γ = 90.00°
Space group P4/mbm (No. 127)
Unique sites:
Ag  0.000  0.000  0.000 x2
Bi  0.157  0.343  0.500 x4
Se  0.162  0.662  0.000 x4


No. 3
First-principles (SCAN) data for AgBi2Se2 at its PBEsol-relaxed geometry, as listed in Alexandria.

## Properties
Its total DFT energy (no corrections) is -456.35 eV for the cell shown. The density of states at the Fermi level comes out at 0.394 states/eV/atom. The formation energy without anion corrections is 102 meV/atom. The calculation puts the total magnetization at 0.00 μB/atom.

a = 5.734 Å, b = 5.734 Å, c = 8.762 Å
α = 90.00°, β = 90.00°, γ = 90.00°
Space group I4/mmm (No. 139)
Unique sites:
Ag  0.000  0.000  0.000 x2
Bi  0.000  0.000  0.316 x4
Se  0.000  0.500  0.250 x4


No. 4
First-principles (SCAN) data for AgBi2Se2 at its PBEsol-relaxed geometry, as listed in Alexandria.

## Properties
Its total DFT energy (no corrections) is -456.45 eV for the cell shown. The density of states at the Fermi level comes out at 0.371 states/eV/atom. The formation energy without anion corrections is 91 meV/atom. The calculation puts the total magnetization at 0.00 μB/atom.

a = 8.029 Å, b = 8.029 Å, c = 4.000 Å
α = 90.00°, β = 90.00°, γ = 90.00°
Space group P4/mbm (No. 127)
Unique sites:
Ag  0.000  0.000  0.000 x2
Bi  0.180  0.320  0.000 x4
Se  0.145  0.645  0.500 x4


No. 5
First-principles (SCAN) data for AgBi3Se at its PBEsol-relaxed geometry, as listed in Alexandria.

## Properties
Its total DFT energy (no corrections) is -283.48 eV for the cell shown. The density of states at the Fermi level comes out at 1.382 states/eV/atom. The formation energy without anion corrections is 740 meV/atom. The calculation puts the total magnetization at 0.00 μB/atom.

a = 5.390 Å, b = 5.390 Å, c = 5.390 Å
α = 90.00°, β = 90.00°, γ = 90.00°
Space group Pm-3m (No. 221)
Unique sites:
Ag  0.000  0.000  0.000 x1
Bi  0.000  0.000  0.500 x3
Se  0.500  0.500  0.500 x1


No. 6
First-principles (SCAN) data for AgBiSe2 at its PBEsol-relaxed geometry, as listed in Alexandria.

## Properties
Its total DFT energy (no corrections) is -451.93 eV for the cell shown. The formation energy without anion corrections is -135 meV/atom. The calculation puts the total magnetization at 0.00 μB/atom.

a = 4.2803 Å, b = 4.2803 Å, c = 23.8914 Å
α = 90.00°, β = 90.00°, γ = 120.00°
Space group R-3m (No. 166, hexagonal axes)
Unique sites:
Ag  0.0000  0.0000  0.0000 x3
Bi  0.0000  0.0000  0.5000 x3
Se  0.0000  0.0000  0.1015 x6


Repeat the second record exactly.
First-principles (SCAN) data for AgBi2Se2 at its PBEsol-relaxed geometry, as listed in Alexandria.

## Properties
Its total DFT energy (no corrections) is -455.57 eV for the cell shown. The density of states at the Fermi level comes out at 0.579 states/eV/atom. The formation energy without anion corrections is 179 meV/atom. The calculation puts the total magnetization at 0.00 μB/atom.

a = 7.509 Å, b = 7.509 Å, c = 4.394 Å
α = 90.00°, β = 90.00°, γ = 90.00°
Space group P4/mbm (No. 127)
Unique sites:
Ag  0.000  0.000  0.000 x2
Bi  0.157  0.343  0.500 x4
Se  0.162  0.662  0.000 x4


The highest formation energy without anion corrections belongs to which entry?
AgBi3Se